(1)
# Cs2MgBr2, relaxed, DFT PBE-GGA
# energy relative to the elements, uncorrected = -1.036 eV per atom
# E_tot = -23.7 eV for the cell shown
# density of states at the Fermi level = 0.00 states/eV/f.u.
data_Cs2MgBr2
_cell_length_a 6.8807
_cell_length_b 6.8807
_cell_length_c 14.6486
_cell_angle_alpha 90.00
_cell_angle_beta 90.00
_cell_angle_gamma 90.00
_symmetry_space_group_name_H-M 'I 4/m m m'
_symmetry_Int_Tables_number 139
_symmetry_space_group_name_Hall '-I 4 2'
loop_
_atom_site_label
_atom_site_fract_x
_atom_site_fract_y
_atom_site_fract_z
_atom_site_occupancy
Cs1 0.0000 0.0000 0.1911 1
Mg1 0.0000 0.0000 0.5000 1
Br1 0.0000 0.5000 0.2500 1

=====

(2)
# CsMg2Br, relaxed, DFT PBE-GGA
# energy relative to the elements, uncorrected = -0.260 eV per atom
# E_tot = -27.0 eV for the cell shown
# density of states at the Fermi level = 0.34 states/eV/f.u.
data_CsMg2Br
_cell_length_a 10.0138
_cell_length_b 10.0138
_cell_length_c 6.7855
_cell_angle_alpha 90.00
_cell_angle_beta 90.00
_cell_angle_gamma 90.00
_symmetry_space_group_name_H-M 'I -4 2 d'
_symmetry_Int_Tables_number 122
_symmetry_space_group_name_Hall 'I -4 2bw'
loop_
_atom_site_label
_atom_site_fract_x
_atom_site_fract_y
_atom_site_fract_z
_atom_site_occupancy
Cs1 0.0000 0.0000 0.0000 1
Mg1 0.2007 0.2500 0.6250 1
Br1 0.0000 0.0000 0.5000 1

=====

(3)
# CsMg3Br, relaxed, DFT PBE-GGA
# energy relative to the elements, uncorrected = 0.643 eV per atom
# E_tot = -4.1 eV for the cell shown
# density of states at the Fermi level = 0.00 states/eV/f.u.
data_CsMg3Br
_cell_length_a 7.5544
_cell_length_b 7.5544
_cell_length_c 7.5544
_cell_angle_alpha 90.00
_cell_angle_beta 90.00
_cell_angle_gamma 90.00
_symmetry_space_group_name_H-M 'P m -3 m'
_symmetry_Int_Tables_number 221
_symmetry_space_group_name_Hall '-P 4 2 3'
loop_
_atom_site_label
_atom_site_fract_x
_atom_site_fract_y
_atom_site_fract_z
_atom_site_occupancy
Cs1 0.0000 0.0000 0.0000 1
Mg1 0.0000 0.0000 0.5000 1
Br1 0.5000 0.5000 0.5000 1

=====

(4)
# Cs3Mg5Br12, relaxed, DFT PBE-GGA
# energy relative to the elements, uncorrected = -1.455 eV per atom
# E_tot = -477.7 eV for the cell shown
# density of states at the Fermi level = 1.58 states/eV/f.u.
data_Cs3Mg5Br12
_cell_length_a 18.0349
_cell_length_b 18.0349
_cell_length_c 18.0349
_cell_angle_alpha 90.00
_cell_angle_beta 90.00
_cell_angle_gamma 90.00
_symmetry_space_group_name_H-M 'I a -3 d'
_symmetry_Int_Tables_number 230
_symmetry_space_group_name_Hall '-I 4bd 2c 3'
loop_
_atom_site_label
_atom_site_fract_x
_atom_site_fract_y
_atom_site_fract_z
_atom_site_occupancy
Cs1 0.0000 0.2500 0.1250 1
Mg1 0.0000 0.0000 0.0000 1
Mg2 0.0000 0.2500 0.3750 1
Br1 0.0393 0.0453 0.6444 1

=====

(5)
# Cs3MgBr6, relaxed, DFT PBE-GGA
# energy relative to the elements, uncorrected = -1.414 eV per atom
# E_tot = -113.3 eV for the cell shown
# density of states at the Fermi level = 8.11 states/eV/f.u.
data_Cs3MgBr6
_cell_length_a 12.1720
_cell_length_b 12.1720
_cell_length_c 12.1720
_cell_angle_alpha 90.00
_cell_angle_beta 90.00
_cell_angle_gamma 90.00
_symmetry_space_group_name_H-M 'F m -3 m'
_symmetry_Int_Tables_number 225
_symmetry_space_group_name_Hall '-F 4 2 3'
loop_
_atom_site_label
_atom_site_fract_x
_atom_site_fract_y
_atom_site_fract_z
_atom_site_occupancy
Cs1 0.0000 0.0000 0.0000 1
Cs2 0.2500 0.2500 0.2500 1
Mg1 0.0000 0.0000 0.5000 1
Br1 0.0000 0.0000 0.2817 1

=====

(6)
# Cs2MgBr4, relaxed, DFT PBE-GGA
# energy relative to the elements, uncorrected = -1.691 eV per atom
# E_tot = -43.7 eV for the cell shown
# density of states at the Fermi level = 0.00 states/eV/f.u.
data_Cs2MgBr4
_cell_length_a 7.9340
_cell_length_b 7.7471
_cell_length_c 10.4499
_cell_angle_alpha 90.00
_cell_angle_beta 108.90
_cell_angle_gamma 90.00
_symmetry_space_group_name_H-M 'P 1 21/m 1'
_symmetry_Int_Tables_number 11
_symmetry_space_group_name_Hall '-P 2yb'
loop_
_atom_site_label
_atom_site_fract_x
_atom_site_fract_y
_atom_site_fract_z
_atom_site_occupancy
Cs1 0.1987 0.2500 0.4224 1
Cs2 0.2932 0.2500 0.9587 1
Mg1 0.2885 0.7500 0.2125 1
Br1 0.0830 0.7500 0.3514 1
Br2 0.1361 0.7500 0.9613 1
Br3 0.4994 0.5012 0.7251 1

=====

(7)
# Cs2MgBr2, relaxed, DFT PBE-GGA
# energy relative to the elements, uncorrected = -1.085 eV per atom
# E_tot = -24.1 eV for the cell shown
# density of states at the Fermi level = 0.00 states/eV/f.u.
data_Cs2MgBr2
_cell_length_a 10.2916
_cell_length_b 10.2916
_cell_length_c 4.4136
_cell_angle_alpha 90.00
_cell_angle_beta 90.00
_cell_angle_gamma 90.00
_symmetry_space_group_name_H-M 'P 4/m b m'
_symmetry_Int_Tables_number 127
_symmetry_space_group_name_Hall '-P 4 2ab'
loop_
_atom_site_label
_atom_site_fract_x
_atom_site_fract_y
_atom_site_fract_z
_atom_site_occupancy
Cs1 0.1430 0.3570 0.0000 1
Mg1 0.0000 0.0000 0.0000 1
Br1 0.1530 0.6530 0.5000 1

=====

(8)
# CsMg2Br, relaxed, DFT PBE-GGA
# energy relative to the elements, uncorrected = -0.074 eV per atom
# E_tot = -24.1 eV for the cell shown
# density of states at the Fermi level = 0.02 states/eV/f.u.
data_CsMg2Br
_cell_length_a 8.8327
_cell_length_b 8.8327
_cell_length_c 8.8327
_cell_angle_alpha 90.00
_cell_angle_beta 90.00
_cell_angle_gamma 90.00
_symmetry_space_group_name_H-M 'F m -3 m'
_symmetry_Int_Tables_number 225
_symmetry_space_group_name_Hall '-F 4 2 3'
loop_
_atom_site_label
_atom_site_fract_x
_atom_site_fract_y
_atom_site_fract_z
_atom_site_occupancy
Cs1 0.0000 0.0000 0.0000 1
Mg1 0.2500 0.2500 0.2500 1
Br1 0.0000 0.0000 0.5000 1